The following is a GGA-PBE calculation of Ba2ErGaSe5 after structural relaxation, from Alexandria.

a = 7.4131 Å, b = 8.7378 Å, c = 9.5462 Å
α = 103.39°, β = 103.04°, γ = 107.32°
Last column: nearest neighbours and their distance in Å.
Positions (direct):
Er 0.9979 0.7297 0.9982  6 Se 2.80-3.03
Er 0.0021 0.2703 0.0018  6 Se 2.80-3.03
Ga 0.1890 0.1260 0.3107  4 Se 2.39-2.50
Ga 0.8110 0.8740 0.6893  4 Se 2.39-2.50
Se 0.0096 0.8424 0.3073  1 Ga 2.43
Se 0.9904 0.1576 0.6927  1 Ga 2.43
Se 0.2827 0.0900 0.0723  1 Ga 2.50
Se 0.9916 0.6834 0.6897  1 Ga 2.43
Se 0.7173 0.9100 0.9277  1 Ga 2.50
Se 0.2901 0.5880 0.0547  2 Er 2.80-2.81
Se 0.4950 0.7443 0.4948  1 Ga 2.39
Se 0.7099 0.4120 0.9453  2 Er 2.80-2.81
Se 0.5050 0.2557 0.5052  1 Ga 2.39
Se 0.0084 0.3166 0.3103  1 Ga 2.43
Ba 0.3696 0.0230 0.7135  7 Se 3.26-3.58
Ba 0.6304 0.9770 0.2865  7 Se 3.26-3.58
Ba 0.6519 0.4865 0.2896  7 Se 3.29-3.55
Ba 0.3481 0.5135 0.7104  7 Se 3.29-3.55

Computed properties:
raw total energy = -4.85 eV per atom
polymorph energy (0 for the lowest one) = 0.000 eV per atom
total magnetic moment = 0.00 μB/cell
space-group type = No. 2



The following is a GGA-PBE calculation of TbNd7Y4 after structural relaxation, from Alexandria.

a = 6.0680 Å, b = 11.7729 Å, c = 6.7876 Å
α = 83.79°, β = 63.45°, γ = 75.07°
Last column: nearest neighbours and their distance in Å.
Positions (direct):
Nd 0.5000 0.0000 0.0000  2 Tb 3.03, 2 Nd 3.16
Nd 0.7896 0.9213 0.4995  4 Nd 3.16-3.52, 1 Tb 3.17, 4 Y 3.33-3.46
Nd 0.2104 0.0787 0.5005  4 Nd 3.16-3.52, 1 Tb 3.17, 4 Y 3.33-3.46
Nd 0.9382 0.3194 0.8042  4 Nd 3.29-3.68
Nd 0.0618 0.6806 0.1958  4 Nd 3.29-3.68
Nd 0.6309 0.4988 0.2394  2 Nd 3.16-3.33, 3 Y 3.35-3.54
Nd 0.3691 0.5012 0.7606  2 Nd 3.16-3.33, 3 Y 3.35-3.54
Y 0.3579 0.7760 0.5081  7 Nd 3.44-3.73, 2 Y 3.70
Y 0.2436 0.3199 0.1928  5 Nd 3.33-3.71, 2 Y 3.70
Y 0.7564 0.6801 0.8072  5 Nd 3.33-3.71, 2 Y 3.70
Y 0.6421 0.2240 0.4919  7 Nd 3.44-3.73, 2 Y 3.70
Tb 0.0000 0.0000 0.0000  4 Nd 3.03-3.17

Computed properties:
raw total energy = -5.08 eV per atom
polymorph energy (0 for the lowest one) = 0.242 eV per atom
total magnetic moment = 0.00 μB/cell
space-group type = No. 12



The following is a GGA-PBE calculation of Pr3Zn3Ir2 after structural relaxation, from Alexandria.

a = 5.7506 Å, b = 7.7887 Å, c = 16.0455 Å
α = 90.00°, β = 90.00°, γ = 90.00°
Last column: nearest neighbours and their distance in Å.
Positions (direct):
Pr 0.3873 0.9631 0.3948  3 Ir 2.97-3.19, 6 Zn 3.19-3.31
Pr 0.1127 0.4631 0.1052  3 Ir 2.97-3.19, 6 Zn 3.19-3.31
Pr 0.8873 0.5369 0.6052  3 Ir 2.97-3.19, 6 Zn 3.19-3.31
Pr 0.6127 0.0369 0.6052  3 Ir 2.97-3.19, 6 Zn 3.19-3.31
Pr 0.1370 0.1675 0.7500  3 Zn 3.07-3.18, 4 Ir 3.08-3.18
Pr 0.8630 0.8325 0.2500  3 Zn 3.07-3.18, 4 Ir 3.08-3.18
Pr 0.3630 0.6675 0.7500  3 Zn 3.07-3.18, 4 Ir 3.08-3.18
Pr 0.3873 0.9631 0.1052  3 Ir 2.97-3.19, 6 Zn 3.19-3.31
Pr 0.6127 0.0369 0.8948  3 Ir 2.97-3.19, 6 Zn 3.19-3.31
Pr 0.8873 0.5369 0.8948  3 Ir 2.97-3.19, 6 Zn 3.19-3.31
Pr 0.6370 0.3325 0.2500  3 Zn 3.07-3.18, 4 Ir 3.08-3.18
Pr 0.1127 0.4631 0.3948  3 Ir 2.97-3.19, 6 Zn 3.19-3.31
Zn 0.5990 0.3307 0.0342  3 Ir 2.59-2.69
Zn 0.4010 0.6693 0.5342  3 Ir 2.59-2.69
Zn 0.1260 0.1750 0.2500  2 Ir 2.67
Zn 0.3740 0.6750 0.2500  2 Ir 2.67
Zn 0.9010 0.8307 0.0342  3 Ir 2.59-2.69
Zn 0.5990 0.3307 0.4658  3 Ir 2.59-2.69
Zn 0.8740 0.8250 0.7500  2 Ir 2.67
Zn 0.0990 0.1693 0.5342  3 Ir 2.59-2.69
Zn 0.4010 0.6693 0.9658  3 Ir 2.59-2.69
Zn 0.9010 0.8307 0.4658  3 Ir 2.59-2.69
Zn 0.0990 0.1693 0.9658  3 Ir 2.59-2.69
Zn 0.6260 0.3250 0.7500  2 Ir 2.67
Ir 0.8772 0.1240 0.3884  4 Zn 2.59-2.69
Ir 0.8772 0.1240 0.1116  4 Zn 2.59-2.69
Ir 0.6228 0.6240 0.1116  4 Zn 2.59-2.69
Ir 0.1228 0.8760 0.8884  4 Zn 2.59-2.69
Ir 0.3772 0.3760 0.6116  4 Zn 2.59-2.69
Ir 0.1228 0.8760 0.6116  4 Zn 2.59-2.69
Ir 0.6228 0.6240 0.3884  4 Zn 2.59-2.69
Ir 0.3772 0.3760 0.8884  4 Zn 2.59-2.69

Computed properties:
raw total energy = -4.99 eV per atom
total magnetic moment = 0.00 μB/cell
space-group type = No. 62



The following is a GGA-PBE calculation of NaAlSi3O8 after structural relaxation, from Alexandria.

a = 7.7838 Å, b = 8.4506 Å, c = 7.6956 Å
α = 128.15°, β = 102.40°, γ = 91.94°
Last column: nearest neighbours and their distance in Å.
Positions (direct):
Si 0.6668 0.3324 0.5231  4 O 1.61-1.72
Si 0.5342 0.0657 0.9098  3 O 1.64-1.69
Si 0.4658 0.9343 0.0902  3 O 1.64-1.69
Si 0.6380 0.5832 0.0311  3 O 1.63-1.65
Si 0.3620 0.4168 0.9689  3 O 1.63-1.65
Si 0.3332 0.6676 0.4769  4 O 1.61-1.72
O 0.8427 0.2104 0.4485  1 O 1.49
O 0.7409 0.1964 0.0115  1 Si 1.64, 1 Al 1.83
O 0.2968 0.5487 0.2045  2 Si 1.61-1.65
O 0.0323 0.6627 0.5655  1 O 1.49
O 0.2591 0.8036 0.9885  1 Si 1.64, 1 Al 1.83
O 0.5092 0.8635 0.6301  2 Si 1.66-1.69
O 0.7032 0.4513 0.7955  2 Si 1.61-1.65
O 0.3815 0.1941 0.9052  2 Si 1.65
O 0.3309 0.5255 0.5500  1 Si 1.61, 1 Al 1.79
O 0.9677 0.3373 0.4345  1 O 1.49
O 0.7903 0.6221 0.2422  1 Si 1.63, 1 Al 1.80
O 0.6185 0.8059 0.0948  2 Si 1.65
O 0.6691 0.4745 0.4500  1 Si 1.61, 1 Al 1.79
O 0.2097 0.3779 0.7578  1 Si 1.63, 1 Al 1.80
O 0.4908 0.1365 0.3699  2 Si 1.66-1.69
O 0.1573 0.7896 0.5515  1 O 1.49
Al 0.1726 0.5514 0.6988  5 O 1.79-1.98
Al 0.8274 0.4486 0.3012  5 O 1.79-1.98
Na 0.8293 0.9212 0.6391  4 O 2.41-2.61
Na 0.1707 0.0788 0.3609  4 O 2.41-2.61

Computed properties:
raw total energy = -6.94 eV per atom
polymorph energy (0 for the lowest one) = 0.537 eV per atom
total magnetic moment = 0.00 μB/cell
space-group type = No. 2



The following is a GGA-PBE calculation of KPSe2Br after structural relaxation, from Alexandria.

a = 4.8705 Å, b = 4.8705 Å, c = 5.7000 Å
α = 90.00°, β = 90.00°, γ = 90.00°
Last column: nearest neighbours and their distance in Å.
Positions (direct):
K 0.5000 0.5000 0.5000  4 Br 3.44, 8 Se 3.75
Br 0.0000 0.0000 0.5000  2 P 2.85
Se 0.0000 0.5000 0.0000  2 P 2.44
Se 0.5000 0.0000 0.0000  2 P 2.44
P 0.0000 0.0000 0.0000  4 Se 2.44

Computed properties:
raw total energy = -3.36 eV per atom
polymorph energy (0 for the lowest one) = 0.000 eV per atom
total magnetic moment = 0.00 μB/cell
space-group type = No. 123



The following is a GGA-PBE calculation of SrAc2UAs4 after structural relaxation, from Alexandria.

a = 6.2464 Å, b = 6.2464 Å, c = 7.6665 Å
α = 114.03°, β = 114.03°, γ = 90.02°
Last column: nearest neighbours and their distance in Å.
Positions (direct):
Sr 0.5000 0.5000 0.0000  6 As 3.14
As 0.7508 0.7508 0.5016  3 Ac 3.12, 2 U 3.12, 1 Sr 3.14
As 0.5228 0.0228 0.0456  1 U 2.85, 2 Ac 3.14, 2 Sr 3.14
As 0.2492 0.2492 0.4984  2 U 3.12, 3 Ac 3.12, 1 Sr 3.14
As 0.9772 0.4772 0.9544  1 U 2.85, 2 Sr 3.14, 2 Ac 3.14
U 0.7500 0.2500 0.5000  6 As 2.85-3.12
Ac 0.2500 0.7500 0.5000  6 As 3.12-3.42
Ac 0.0000 0.0000 0.0000  6 As 3.12-3.14

Computed properties:
raw total energy = -6.12 eV per atom
total magnetic moment = 1.96 μB/cell
space-group type = No. 119



The following is a GGA-PBE calculation of CdAsIr2 after structural relaxation, from Alexandria.

a = 4.7020 Å, b = 4.7020 Å, c = 4.7020 Å
α = 126.54°, β = 126.54°, γ = 79.00°
Last column: nearest neighbours and their distance in Å.
Positions (direct):
Ir 0.0000 0.0000 0.0000  4 As 2.79, 4 Cd 2.79, 4 Ir 2.99
Ir 0.5000 0.5000 0.0000  4 Cd 2.79, 4 As 2.79, 4 Ir 2.99
As 0.2500 0.7500 0.5000  8 Ir 2.79, 4 Cd 2.99
Cd 0.7500 0.2500 0.5000  8 Ir 2.79, 4 As 2.99

Computed properties:
raw total energy = -5.54 eV per atom
polymorph energy (0 for the lowest one) = 0.186 eV per atom
total magnetic moment = 0.00 μB/cell
space-group type = No. 139



The following is a GGA-PBE calculation of SiBPN4 after structural relaxation, from Alexandria.

a = 4.6066 Å, b = 4.6066 Å, c = 13.6405 Å
α = 90.00°, β = 90.00°, γ = 120.00°
Last column: nearest neighbours and their distance in Å.
Positions (direct):
Si 0.3333 0.6667 0.9506  4 N 1.64-1.77
Si 0.0000 0.0000 0.2840  4 N 1.64-1.77
Si 0.6667 0.3333 0.6173  4 N 1.64-1.77
N 0.0119 0.3209 0.6688  1 B 1.45
N 0.9757 0.3215 0.0021  1 B 1.45
N 0.3333 0.6667 0.8307  1 P 1.53, 1 Si 1.64
N 0.3452 0.9876 0.3354  1 B 1.45
N 0.3090 0.9881 0.6688  1 B 1.45
N 0.0124 0.3576 0.3354  1 B 1.45
N 0.6424 0.6548 0.3354  1 B 1.45
N 0.6667 0.3333 0.4974  1 P 1.53, 1 Si 1.64
N 0.6791 0.6910 0.6688  1 B 1.45
N 0.6785 0.6543 0.0021  1 B 1.45
N 0.3457 0.0243 0.0021  1 B 1.45
N 0.0000 0.0000 0.1640  1 P 1.53, 1 Si 1.64
B 0.3333 0.6667 0.3375  3 N 1.45
B 0.6667 0.3333 0.0042  3 N 1.45
B 0.0000 0.0000 0.6709  3 N 1.45
P 0.6667 0.3333 0.3850  4 N 1.53-1.68
P 0.3333 0.6667 0.7183  4 N 1.53-1.68
P 0.0000 0.0000 0.0516  4 N 1.53-1.68

Computed properties:
raw total energy = -8.09 eV per atom
polymorph energy (0 for the lowest one) = 0.000 eV per atom
total magnetic moment = 0.00 μB/cell
space-group type = No. 146



The following is a GGA-PBE calculation of Pm2DyPa2Rh5 after structural relaxation, from Alexandria.

a = 3.6152 Å, b = 10.9464 Å, c = 10.9464 Å
α = 90.00°, β = 90.00°, γ = 90.00°
Last column: nearest neighbours and their distance in Å.
Positions (direct):
Rh 0.5000 0.2036 0.0522  2 Pa 2.68, 2 Dy 2.93
Rh 0.5000 0.9478 0.2036  2 Pa 2.68, 2 Dy 2.93
Rh 0.5000 0.7036 0.4478  2 Pa 2.68, 2 Dy 2.93
Rh 0.5000 0.4478 0.2964  2 Pa 2.68, 2 Dy 2.93
Rh 0.5000 0.0522 0.7964  2 Pa 2.68, 2 Dy 2.93
Rh 0.5000 0.5000 0.0000  4 Pa 2.78
Rh 0.5000 0.2964 0.5522  2 Pa 2.68, 2 Dy 2.93
Rh 0.5000 0.7964 0.9478  2 Pa 2.68, 2 Dy 2.93
Rh 0.5000 0.0000 0.5000  4 Pa 2.78
Rh 0.5000 0.5522 0.7036  2 Pa 2.68, 2 Dy 2.93
Pa 0.0000 0.6365 0.8635  6 Rh 2.68-2.78, 1 Pm 2.97
Pa 0.0000 0.8635 0.3635  6 Rh 2.68-2.78, 1 Pm 2.97
Pa 0.0000 0.1365 0.6365  6 Rh 2.68-2.78, 1 Pm 2.97
Pa 0.0000 0.3635 0.1365  6 Rh 2.68-2.78, 1 Pm 2.97
Pm 0.0000 0.6718 0.1718  1 Pa 2.97, 2 Rh 3.22
Pm 0.0000 0.1718 0.3282  1 Pa 2.97, 2 Rh 3.22
Pm 0.0000 0.8282 0.6718  1 Pa 2.97, 2 Rh 3.22
Pm 0.0000 0.3282 0.8282  1 Pa 2.97, 2 Rh 3.22
Dy 0.0000 0.0000 0.0000  8 Rh 2.93
Dy 0.0000 0.5000 0.5000  8 Rh 2.93

Computed properties:
raw total energy = -7.65 eV per atom
total magnetic moment = 0.00 μB/cell
space-group type = No. 127



The following is a GGA-PBE calculation of Li2GeAs after structural relaxation, from Alexandria.

a = 4.5137 Å, b = 4.5137 Å, c = 4.5137 Å
α = 60.00°, β = 60.00°, γ = 60.00°
Last column: nearest neighbours and their distance in Å.
Positions (direct):
As 0.5000 0.5000 0.5000  8 Li 2.76
Li 0.7500 0.7500 0.7500  4 Ge 2.76, 4 As 2.76
Li 0.2500 0.2500 0.2500  4 As 2.76, 4 Ge 2.76
Ge 0.0000 0.0000 0.0000  8 Li 2.76

Computed properties:
raw total energy = -3.58 eV per atom
polymorph energy (0 for the lowest one) = 0.084 eV per atom
total magnetic moment = 0.00 μB/cell
space-group type = No. 225



Which of these has the highest total magnetic moment? SrAc2UAs4